# 1
Here is a geometry-optimized Y2Ho3TmSb2Os structure from OQMD via LeMat-Bulk. Energies are from PBE.

Cell lengths 4.201, 8.170, 8.170 Å; angles 120.27, 90.00, 90.00 degrees
Sites, in units of the cell vectors:
1 Y 0.000 0.604 0.999
2 Y 0.000 0.999 0.604
3 Os 0.000 0.006 0.006
4 Sb 0.500 0.333 0.665
5 Sb 0.500 0.665 0.333
6 Ho 0.500 0.237 0.000
7 Ho 0.500 0.764 0.764
8 Ho 0.500 0.000 0.237
9 Tm 0.000 0.390 0.390

## Properties
The value obtained for the total magnetization is 0.02 μB/f.u. The value obtained for the calculated density is 8.745 Mg/m³. The uncorrected energy comes out at -6.2997 eV per atom.

# 2
Here is a geometry-optimized Zr2Br structure from OQMD via LeMat-Bulk. Energies are from PBE.

Cell lengths 5.948, 5.948, 5.948 Å; angles 60.00, 60.00, 60.00 degrees
Sites, in units of the cell vectors:
1 Zr 0.625 0.125 0.625
2 Zr 0.625 0.625 0.125
3 Zr 0.125 0.625 0.625
4 Zr 0.625 0.625 0.625
5 Br 0.250 0.250 0.250
6 Br 0.000 0.000 0.000

## Properties
The value obtained for the total magnetization is 0.01 μB/f.u. The value obtained for the calculated density is 5.855 Mg/m³. Its distance to the lowest polymorph of the same formula is 202.3 meV per atom. The uncorrected energy comes out at -5.7521 eV per atom.

# 3
Here is a geometry-optimized YHgS2 structure from OQMD via LeMat-Bulk. Energies are from PBE.

Cell lengths 3.952, 3.953, 8.390 Å; angles 89.91, 89.48, 60.01 degrees
Sites, in units of the cell vectors:
1 Y 0.806 0.066 0.624
2 Hg 0.152 0.389 0.123
3 S 0.144 0.398 0.442
4 S 0.136 0.401 0.805

## Properties
The value obtained for the total magnetization is 0.00 μB/f.u. The value obtained for the calculated density is 5.174 Mg/m³. The uncorrected energy comes out at -4.8844 eV per atom.

# 4
Here is a geometry-optimized Hf2GaAg structure from OQMD via LeMat-Bulk. Energies are from PBE.

Cell lengths 4.829, 4.829, 4.829 Å; angles 60.00, 60.00, 60.00 degrees
Last column: magnetic moment on the atom in μB.
Sites, in units of the cell vectors:
1 Ga 0.500 0.500 0.500  0.00
2 Hf 0.000 0.000 0.000  0.66
3 Hf 0.750 0.750 0.750  0.70
4 Ag 0.250 0.250 0.250  0.03

## Properties
The value obtained for the total magnetization is 1.83 μB/f.u. The value obtained for the calculated density is 11.149 Mg/m³. The uncorrected energy comes out at -6.1903 eV per atom.

# 5
Here is a geometry-optimized ZnCuIrW structure from OQMD via LeMat-Bulk. Energies are from PBE.

Cell lengths 4.315, 4.315, 4.315 Å; angles 60.00, 60.00, 60.00 degrees
Sites, in units of the cell vectors:
1 Ir 0.250 0.250 0.250
2 W 0.500 0.500 0.500
3 Cu 0.750 0.750 0.750
4 Zn 0.000 0.000 0.000

## Properties
The value obtained for the total magnetization is 0.00 μB/f.u. The value obtained for the calculated density is 14.757 Mg/m³. Its distance to the lowest polymorph of the same formula is 0.0 meV per atom. The uncorrected energy comes out at -6.6702 eV per atom. The calculation puts the formation energy at 0.029 eV per atom.

# 6
Here is a geometry-optimized PuPa3N6 structure from OQMD via LeMat-Bulk. Energies are from PBE.

Cell lengths 6.760, 6.760, 3.642 Å; angles 90.00, 90.00, 110.10 degrees
Last column: magnetic moment on the atom in μB.
Sites, in units of the cell vectors:
1 Pa 0.500 0.000 0.500  0.04
2 Pa 0.500 0.500 0.000  0.04
3 Pa 0.000 0.500 0.500  0.04
4 N 0.421 0.163 0.000  -0.03
5 N 0.837 0.579 0.000  -0.03
6 N 0.138 0.862 0.500  -0.14
7 N 0.163 0.421 0.000  -0.03
8 N 0.862 0.138 0.500  -0.14
9 N 0.579 0.837 0.000  -0.03
10 Pu 0.000 0.000 0.000  4.33

## Properties
The value obtained for the total magnetization is 4.09 μB/f.u. The value obtained for the calculated density is 10.852 Mg/m³. The uncorrected energy comes out at -10.7185 eV per atom.

# 7
Here is a geometry-optimized MoN2 structure from OQMD via LeMat-Bulk. Energies are from PBE.

Cell lengths 3.815, 3.815, 5.987 Å; angles 115.87, 115.87, 45.12 degrees
Sites, in units of the cell vectors:
1 N 0.587 0.587 0.393
2 N 0.893 0.893 0.972
3 N 0.107 0.107 0.028
4 N 0.413 0.413 0.607
5 Mo 0.831 0.831 0.286
6 Mo 0.169 0.169 0.714

## Properties
The value obtained for the total magnetization is 0.00 μB/f.u. The value obtained for the calculated density is 7.565 Mg/m³. The uncorrected energy comes out at -9.0824 eV per atom.

# 8
Here is a geometry-optimized Er3In3CuPd2 structure from OQMD via LeMat-Bulk. Energies are from PBE.

Cell lengths 7.615, 7.615, 3.820 Å; angles 90.00, 90.00, 120.00 degrees
Sites, in units of the cell vectors:
1 Pd 0.667 0.333 0.500
2 Pd 0.333 0.667 0.500
3 In 0.748 0.748 0.500
4 In 0.000 0.252 0.500
5 In 0.252 0.000 0.500
6 Cu 0.000 0.000 0.000
7 Er 0.590 0.000 0.000
8 Er 0.000 0.590 0.000
9 Er 0.410 0.410 0.000

## Properties
The value obtained for the total magnetization is 0.01 μB/f.u. The value obtained for the calculated density is 9.718 Mg/m³. The uncorrected energy comes out at -4.6982 eV per atom.

# 9
Here is a geometry-optimized CsRe3Sn5 structure from OQMD via LeMat-Bulk. Energies are from PBE.

Cell lengths 5.488, 5.488, 9.556 Å; angles 90.00, 90.00, 120.00 degrees
Sites, in units of the cell vectors:
1 Sn 0.333 0.667 0.249
2 Sn 0.667 0.333 0.249
3 Sn 0.667 0.333 0.751
4 Sn 0.000 0.000 0.500
5 Sn 0.333 0.667 0.751
6 Re 0.500 0.000 0.500
7 Re 0.500 0.500 0.500
8 Re 0.000 0.500 0.500
9 Cs 0.000 0.000 0.000

## Properties
The value obtained for the total magnetization is 0.05 μB/f.u. The value obtained for the calculated density is 8.560 Mg/m³. The uncorrected energy comes out at -6.2899 eV per atom.

# 10
Here is a geometry-optimized DyEr4Lu2Ir2S2 structure from OQMD via LeMat-Bulk. Energies are from PBE.

Cell lengths 8.835, 8.835, 8.835 Å; angles 154.82, 67.20, 118.86 degrees
Sites, in units of the cell vectors:
1 S 0.424 0.924 0.500
2 S 0.017 0.017 0.000
3 Lu 0.369 0.050 0.319
4 Lu 0.732 0.050 0.681
5 Er 0.385 0.265 0.120
6 Er 0.145 0.265 0.880
7 Er 0.787 0.425 0.362
8 Er 0.062 0.425 0.638
9 Dy 0.676 0.676 0.000
10 Ir 0.989 0.749 0.240
11 Ir 0.510 0.749 0.760

## Properties
The value obtained for the total magnetization is 0.00 μB/f.u. The value obtained for the calculated density is 10.627 Mg/m³. The uncorrected energy comes out at -6.3868 eV per atom.

# 11
Here is a geometry-optimized Ho2ErMg3CuAu2 structure from OQMD via LeMat-Bulk. Energies are from PBE.

Cell lengths 4.027, 7.553, 7.553 Å; angles 119.92, 90.00, 90.00 degrees
Sites, in units of the cell vectors:
1 Au 0.500 0.666 0.334
2 Au 0.500 0.334 0.666
3 Er 0.000 0.410 0.410
4 Ho 0.000 0.590 0.000
5 Ho 0.000 0.000 0.590
6 Mg 0.500 0.241 0.000
7 Mg 0.500 0.000 0.241
8 Mg 0.500 0.759 0.759
9 Cu 0.000 0.000 0.000

## Properties
The value obtained for the total magnetization is 0.01 μB/f.u. The value obtained for the calculated density is 8.568 Mg/m³. The uncorrected energy comes out at -3.7176 eV per atom.

# 12
Here is a geometry-optimized NpCo3 structure from OQMD via LeMat-Bulk. Energies are from PBE.

Cell lengths 4.197, 4.197, 4.197 Å; angles 60.00, 60.00, 60.00 degrees
Sites, in units of the cell vectors:
1 Co 0.000 0.000 0.000
2 Co 0.250 0.250 0.250
3 Co 0.500 0.500 0.500
4 Np 0.750 0.750 0.750

## Properties
The value obtained for the total magnetization is 0.03 μB/f.u. The value obtained for the calculated density is 13.142 Mg/m³. The uncorrected energy comes out at -8.2937 eV per atom. The calculation puts the formation energy at 0.229 eV per atom.

Question: Which formula does entry 12 have?
Answer: NpCo3

Question: Among the records above, which one has the highest total magnetization?
Answer: PuPa3N6